Entry 1:
Density functional theory data (GGA-PBE) for an optimized crystal structure of Rb2SiPdPb.

Unit cell a=7.0553 b=5.1153 c=7.0553 alpha=90.00 beta=90.00 gamma=90.00
Last column: nearest neighbours and their distance in Å.
Atoms (fractional coordinates):
Si  0.0000  0.5000  0.0000  2 Pb 2.56
Rb  0.0000  0.0000  0.5000  2 Pb 3.53
Rb  0.5000  0.0000  0.0000  2 Pb 3.53
Pb  0.0000  0.0000  0.0000  2 Si 2.56
Pd  0.5000  0.5000  0.5000  8 Rb 4.36

Formation energy without anion corrections in eV per atom: 0.72
Distance to the lowest polymorph of the same formula in eV/f.u.: 1.20
Total magnetization in μB/f.u.: 0.1
SG: P4/mmm, No. 123
DOS(E_F) in states/eV/f.u.: 6.4


Entry 2:
Density functional theory data (GGA-PBE) for an optimized crystal structure of Rb2SiPdPb.

Unit cell a=6.2598 b=5.2825 c=6.2598 alpha=90.00 beta=90.00 gamma=90.00
Last column: nearest neighbours and their distance in Å.
Atoms (fractional coordinates):
Pb  0.0000  0.5000  0.0000  2 Pd 2.64
Si  0.5000  0.5000  0.5000  8 Rb 4.10, 4 Pb 4.43
Rb  0.0000  0.0000  0.5000  2 Pd 3.13
Rb  0.5000  0.0000  0.0000  2 Pd 3.13
Pd  0.0000  0.0000  0.0000  2 Pb 2.64

Formation energy without anion corrections in eV per atom: 0.48
Distance to the lowest polymorph of the same formula in eV/f.u.: 0.00
Total magnetization in μB/f.u.: 1.9
SG: P4/mmm, No. 123
DOS(E_F) in states/eV/f.u.: 2.8


Entry 3:
Density functional theory data (GGA-PBE) for an optimized crystal structure of RbSnPdPb.

Unit cell a=4.5656 b=4.5656 c=7.7307 alpha=72.83 beta=72.83 gamma=60.00
Last column: nearest neighbours and their distance in Å.
Atoms (fractional coordinates):
Sn  0.2643  0.2643  0.2070  3 Pd 2.73
Pd  0.6294  0.6294  0.1117  3 Sn 2.73, 3 Pb 2.92
Rb  0.8118  0.8118  0.5646  3 Sn 3.70, 3 Pb 3.79, 1 Pd 3.98
Pb  0.0203  0.0203  0.9390  3 Pd 2.92

Formation energy in eV per atom: -0.309
Total magnetization in μB/f.u.: 0.0
SG: R3m, No. 160
DOS(E_F) in states/eV/f.u.: 1.9


Entry 4:
Density functional theory data (GGA-PBE) for an optimized crystal structure of RbSr2PdPb.

Unit cell a=6.4973 b=6.4973 c=5.3252 alpha=90.00 beta=90.00 gamma=90.00
Last column: nearest neighbours and their distance in Å.
Atoms (fractional coordinates):
Rb  0.5000  0.5000  0.5000  8 Sr 4.20, 4 Pd 4.59
Pb  0.0000  0.0000  0.0000  2 Pd 2.66
Sr  0.5000  0.0000  0.0000  2 Pb 3.25
Sr  0.0000  0.5000  0.0000  2 Pb 3.25
Pd  0.0000  0.0000  0.5000  2 Pb 2.66

Formation energy in eV per atom: 0.008
Total magnetization in μB/f.u.: 0.0
SG: P4/mmm, No. 123
DOS(E_F) in states/eV/f.u.: 3.1


Entry 5:
Density functional theory data (GGA-PBE) for an optimized crystal structure of RbTlPdPb2.

Unit cell a=5.5629 b=5.5629 c=5.4995 alpha=90.00 beta=90.00 gamma=90.00
Last column: nearest neighbours and their distance in Å.
Atoms (fractional coordinates):
Tl  0.0000  0.0000  0.5000  2 Pd 2.75
Pd  0.0000  0.0000  0.0000  2 Tl 2.75, 4 Pb 2.78
Rb  0.5000  0.5000  0.5000  8 Pb 3.91, 4 Tl 3.93
Pb  0.0000  0.5000  0.0000  2 Pd 2.78
Pb  0.5000  0.0000  0.0000  2 Pd 2.78

Formation energy in eV per atom: -0.006
Total magnetization in μB/f.u.: 0.0
SG: P4/mmm, No. 123
DOS(E_F) in states/eV/f.u.: 4.9


Entry 6:
Density functional theory data (GGA-PBE) for an optimized crystal structure of RbTl2PdPb.

Unit cell a=6.6257 b=5.9112 c=8.2242 alpha=90.00 beta=90.00 gamma=90.00
Last column: nearest neighbours and their distance in Å.
Atoms (fractional coordinates):
Tl  0.7649  0.2500  0.7678  2 Pd 2.87
Tl  0.2351  0.7500  0.7678  2 Pd 2.87
Tl  0.7649  0.2500  0.2322  2 Pd 2.87
Tl  0.2351  0.7500  0.2322  2 Pd 2.87
Pd  0.0000  0.0000  0.0000  2 Pb 2.83, 4 Tl 2.87, 2 Pd 2.96
Pd  0.0000  0.5000  0.0000  2 Pb 2.83, 4 Tl 2.87, 2 Pd 2.96
Pb  0.6354  0.7500  0.0000  2 Pd 2.83
Pb  0.3646  0.2500  0.0000  2 Pd 2.83
Rb  0.7367  0.7500  0.5000  8 Tl 3.69-3.99
Rb  0.2633  0.2500  0.5000  8 Tl 3.69-3.99

Formation energy in eV per atom: -0.166
Distance to the lowest polymorph of the same formula in eV/f.u.: 0.00
Total magnetization in μB/f.u.: 0.0
SG: Pmma, No. 51
DOS(E_F) in states/eV/f.u.: 2.1


Entry 7:
Density functional theory data (GGA-PBE) for an optimized crystal structure of RbTl2PdPb.

Unit cell a=5.4912 b=5.4912 c=5.5808 alpha=90.00 beta=90.00 gamma=90.00
Last column: nearest neighbours and their distance in Å.
Atoms (fractional coordinates):
Pd  0.0000  0.0000  0.0000  4 Tl 2.75, 2 Pb 2.79
Rb  0.5000  0.5000  0.5000  4 Pb 3.88, 8 Tl 3.91
Tl  0.5000  0.0000  0.0000  2 Pd 2.75
Tl  0.0000  0.5000  0.0000  2 Pd 2.75
Pb  0.0000  0.0000  0.5000  2 Pd 2.79

Formation energy in eV per atom: -0.034
Distance to the lowest polymorph of the same formula in eV/f.u.: 0.66
Total magnetization in μB/f.u.: 0.0
SG: P4/mmm, No. 123
DOS(E_F) in states/eV/f.u.: 4.5


Entry 8:
Density functional theory data (GGA-PBE) for an optimized crystal structure of RbTlPdPb.

Unit cell a=4.7295 b=4.7295 c=7.4721 alpha=71.55 beta=71.55 gamma=60.00
Last column: nearest neighbours and their distance in Å.
Atoms (fractional coordinates):
Tl  0.0193  0.0193  0.9420  3 Pd 2.94, 3 Pb 3.29
Pd  0.6334  0.6334  0.0997  3 Pb 2.83, 3 Tl 2.94
Rb  0.8085  0.8085  0.5744  1 Pd 3.65, 3 Tl 3.74, 3 Pb 3.74
Pb  0.2646  0.2646  0.2063  3 Pd 2.83

Formation energy in eV per atom: -0.135
Total magnetization in μB/f.u.: 0.0
SG: R3m, No. 160
DOS(E_F) in states/eV/f.u.: 4.0


Entry 9:
Density functional theory data (GGA-PBE) for an optimized crystal structure of RbTlPd2Pb2.

Unit cell a=5.2025 b=5.2025 c=6.8112 alpha=90.00 beta=90.00 gamma=90.00
Last column: nearest neighbours and their distance in Å.
Atoms (fractional coordinates):
Pb  0.5000  0.5000  0.2353  4 Pd 3.06, 1 Pb 3.21
Pb  0.5000  0.5000  0.7647  4 Pd 3.06, 1 Pb 3.21
Tl  0.0000  0.0000  0.0000  4 Pd 2.60
Pd  0.5000  0.0000  0.0000  2 Tl 2.60
Pd  0.0000  0.5000  0.0000  2 Tl 2.60
Rb  0.0000  0.0000  0.5000  2 Tl 3.41

Formation energy in eV per atom: -0.078
Total magnetization in μB/f.u.: 0.0
SG: P4/mmm, No. 123
DOS(E_F) in states/eV/f.u.: 3.2


Entry 10:
Density functional theory data (GGA-PBE) for an optimized crystal structure of RePdPb3.

Unit cell a=5.2982 b=5.2982 c=5.2982 alpha=90.00 beta=90.00 gamma=90.00
Last column: nearest neighbours and their distance in Å.
Atoms (fractional coordinates):
Re  0.0000  0.0000  0.0000  6 Pb 2.65
Pd  0.5000  0.5000  0.5000  12 Pb 3.75
Pb  0.0000  0.5000  0.0000  2 Re 2.65
Pb  0.0000  0.0000  0.5000  2 Re 2.65
Pb  0.5000  0.0000  0.0000  2 Re 2.65

Formation energy in eV per atom: 0.755
Distance to the lowest polymorph of the same formula in eV/f.u.: 0.00
Total magnetization in μB/f.u.: 0.0
SG: Pm-3m, No. 221
DOS(E_F) in states/eV/f.u.: 4.9


Entry 11:
Density functional theory data (GGA-PBE) for an optimized crystal structure of Re2PdRhPb.

Unit cell a=5.0228 b=4.8558 c=5.0228 alpha=90.00 beta=90.00 gamma=90.00
Last column: nearest neighbours and their distance in Å.
Atoms (fractional coordinates):
Re  0.0000  0.0000  0.5000  2 Pb 2.51
Re  0.5000  0.0000  0.0000  2 Pb 2.51
Pd  0.0000  0.5000  0.0000  2 Pb 2.43
Rh  0.5000  0.5000  0.5000  8 Re 3.49, 4 Pd 3.55
Pb  0.0000  0.0000  0.0000  2 Pd 2.43, 4 Re 2.51

Formation energy in eV per atom: 2.823
Total magnetization in μB/f.u.: 5.0
SG: P4/mmm, No. 123
DOS(E_F) in states/eV/f.u.: 6.8


Entry 12:
Density functional theory data (GGA-PBE) for an optimized crystal structure of ReSiPdPb2.

Unit cell a=5.3316 b=4.4814 c=5.3316 alpha=90.00 beta=90.00 gamma=90.00
Last column: nearest neighbours and their distance in Å.
Atoms (fractional coordinates):
Pd  0.0000  0.5000  0.0000  2 Si 2.24
Pb  0.0000  0.0000  0.5000  2 Si 2.67
Pb  0.5000  0.0000  0.0000  2 Si 2.67
Re  0.5000  0.5000  0.5000  8 Pb 3.48, 4 Pd 3.77
Si  0.0000  0.0000  0.0000  2 Pd 2.24

Formation energy without anion corrections in eV per atom: 1.28
Total magnetization in μB/f.u.: 3.6
SG: P4/mmm, No. 123
DOS(E_F) in states/eV/f.u.: 3.5